VASP calculation (PBE) on a geometry-optimized LaI2BrO structure.

Lattice parameters (Å, degrees): 6.641 6.641 4.274 90.00 90.00 90.00
Fractional coordinates of all 5 atoms:
1 La 0.000 0.000 0.000
2 I 0.000 0.500 0.000
3 I 0.500 0.000 0.000
4 Br 0.500 0.500 0.500
5 O 0.000 0.000 0.500

Computed properties:
formation energy from raw total energies = -1.125 eV/atom
space-group type = P4/mmm, No. 123
energy above the lowest structure with this stoichiometry = 0.000 eV/atom
ρ = 4.30 g/cm3
D(E_F) = 5.71 states/eV per cell
total magnetization = 1.77 μB/f.u.